VASP calculation (PBEsol) on HfTaHg2Pb after structural relaxation.

Output
DOS(E_F): 1.4694 states/eV per atom
DFT total energy: -4.055 eV/atom
Formation enthalpy at 0 K: 1.582 eV per atom
Crystal system: tetragonal

```
5
Lattice="5.221 0.000 0.000 0.000 5.221 0.000 0.000 0.000 5.412" Properties=species:S:1:pos:R:3 pbc="T T T"
Pb 0.000 0.000 2.706
Hf 0.000 0.000 0.000
Hg 0.000 2.611 0.000
Hg 2.611 0.000 0.000
Ta 2.611 2.611 2.706
```